A geometry-optimized BaAlOs2 structure, computed with GGA-PBE.

a = 5.787 Å, b = 5.787 Å, c = 5.787 Å
α = 150.73°, β = 124.61°, γ = 63.87°
Element x y z (fractional)
Os 0.536 0.536 0.000
Os 0.964 0.964 0.000
Ba 0.250 0.750 0.500
Al 0.750 0.250 0.500

A geometry-optimized La9Nd2Sc structure, computed with GGA-PBE.

a = 5.194 Å, b = 5.194 Å, c = 15.629 Å
α = 90.00°, β = 90.00°, γ = 90.00°
Element x y z (fractional)
La 0.500 0.000 0.162
La 0.000 0.500 0.162
La 0.500 0.500 0.669
La 0.500 0.000 0.838
La 0.500 0.500 0.331
La 0.500 0.500 0.000
La 0.500 0.000 0.500
La 0.000 0.500 0.500
La 0.000 0.500 0.838
Nd 0.000 0.000 0.330
Nd 0.000 0.000 0.670
Sc 0.000 0.000 0.000

A geometry-optimized LaGeAu structure, computed with GGA-PBE.

a = 6.178 Å, b = 4.457 Å, c = 5.683 Å
α = 113.07°, β = 90.01°, γ = 90.00°
Element x y z (fractional)
La 0.180 0.040 0.418
La 0.680 0.419 0.176
Ge 0.930 0.730 0.797
Ge 0.430 0.730 0.797
Au 0.180 0.337 0.011
Au 0.680 0.123 0.583

A geometry-optimized Li2TiTe4 structure, computed with GGA-PBE.

## Properties
E_form (uncorrected), eV/atom: -0.42

a = 5.411 Å, b = 5.411 Å, c = 7.851 Å
α = 69.84°, β = 69.84°, γ = 90.00°
Element x y z (fractional)
Ti 0.000 0.000 0.000
Te 0.500 0.000 0.000
Te 0.000 0.500 0.000
Te 0.200 0.200 0.600
Te 0.800 0.800 0.400
Li 0.395 0.395 0.210
Li 0.605 0.605 0.790

A geometry-optimized Y2ZrS5 structure, computed with GGA-PBE.

## Properties
Energy above the lowest structure with this stoichiometry, eV per atom: 0.0000
E_form (uncorrected), eV/atom: -1.87

a = 7.283 Å, b = 7.770 Å, c = 11.634 Å
α = 90.00°, β = 90.00°, γ = 90.00°
Element x y z (fractional)
S 0.170 0.250 0.681
S 0.051 0.750 0.997
S 0.660 0.537 0.095
S 0.160 0.463 0.405
S 0.949 0.250 0.003
S 0.840 0.537 0.595
S 0.330 0.250 0.181
S 0.192 0.750 0.708
S 0.551 0.250 0.503
S 0.808 0.250 0.292
S 0.340 0.463 0.905
S 0.670 0.750 0.819
S 0.449 0.750 0.497
S 0.692 0.250 0.792
S 0.340 0.037 0.905
S 0.660 0.963 0.095
S 0.160 0.037 0.405
S 0.830 0.750 0.319
S 0.840 0.963 0.595
S 0.308 0.750 0.208
Y 0.980 0.003 0.821
Y 0.020 0.997 0.179
Y 0.020 0.503 0.179
Y 0.980 0.497 0.821
Y 0.480 0.503 0.679
Y 0.520 0.003 0.321
Y 0.520 0.497 0.321
Y 0.480 0.997 0.679
Zr 0.579 0.250 0.007
Zr 0.421 0.750 0.993
Zr 0.921 0.250 0.507
Zr 0.079 0.750 0.493

A geometry-optimized Pr2Nd3Ho2 structure, computed with GGA-PBE.

## Properties
Energy above the lowest structure with this stoichiometry, eV per atom: 0.0000

a = 3.657 Å, b = 10.936 Å, c = 6.291 Å
α = 95.51°, β = 73.18°, γ = 89.95°
Element x y z (fractional)
Pr 0.283 0.855 0.432
Pr 0.717 0.145 0.568
Ho 0.571 0.713 0.859
Ho 0.429 0.287 0.141
Nd 0.000 0.000 0.000
Nd 0.143 0.430 0.716
Nd 0.857 0.570 0.284

no.,raw total energy (eV/cell),magnetization (μB per atom)
1,-24.472,0.0000
2,-60.018,0.0000
3,-29.668,0.0000
4,-27.210,0.0000
5,-228.299,0.0000
6,-32.915,0.0000